(1)
Sc2BeGaAs (PBE-GGA, relaxed); formation energy from the elements = -0.031 eV per atom; total energy = -4.844 eV/atom
1.0
5.0668 0.0000 0.0000
0.0000 5.0668 0.0000
0.0000 0.0000 4.0676
Sc Be Ga As
2 1 1 1
Direct
0.0000 0.5000 0.0000
0.5000 0.0000 0.0000
0.0000 0.0000 0.5000
0.0000 0.0000 0.0000
0.5000 0.5000 0.5000

=====

(2)
BeGaAs2Se (PBE-GGA, relaxed); total energy = -3.515 eV/atom; formation energy without anion corrections = 0.3919 eV per atom
1.0
4.4323 0.0000 0.0000
0.0000 4.4323 0.0000
0.0000 0.0000 5.0850
Be Ga As Se
1 1 2 1
Direct
0.0000 0.0000 0.0000
0.5000 0.5000 0.5000
0.0000 0.5000 0.0000
0.5000 0.0000 0.0000
0.0000 0.0000 0.5000

=====

(3)
BeGaAs2Se (PBE-GGA, relaxed); total energy = -2.849 eV/atom; formation energy without anion corrections = 1.0580 eV per atom
1.0
4.8822 0.0000 0.0000
0.0000 4.8822 0.0000
0.0000 0.0000 4.9653
Be Ga As Se
1 1 2 1
Direct
0.0000 0.0000 0.0000
0.5000 0.5000 0.5000
0.0000 0.5000 0.5000
0.5000 0.0000 0.5000
0.5000 0.5000 0.0000

=====

(4)
BeGaAs2Se (PBE-GGA, relaxed); total energy = -2.808 eV/atom; formation energy without anion corrections = 1.0993 eV per atom
1.0
5.0523 0.0000 0.0000
0.0000 5.0523 0.0000
0.0000 0.0000 5.0266
Be Ga As Se
1 1 2 1
Direct
0.0000 0.0000 0.0000
0.5000 0.5000 0.0000
0.0000 0.5000 0.5000
0.5000 0.0000 0.5000
0.5000 0.5000 0.5000

=====

(5)
Be2GaSnAs (PBE-GGA, relaxed); formation energy from the elements = 0.653 eV per atom; total energy = -3.174 eV/atom
1.0
4.2783 0.0000 0.0000
0.0000 4.2783 0.0000
0.0000 0.0000 5.4141
Be Ga Sn As
2 1 1 1
Direct
0.0000 0.5000 0.0000
0.5000 0.0000 0.0000
0.0000 0.0000 0.0000
0.5000 0.5000 0.5000
0.0000 0.0000 0.5000

=====

(6)
Be2GaTcAs (PBE-GGA, relaxed); formation energy from the elements = 1.003 eV per atom; total energy = -4.095 eV/atom
1.0
4.1102 0.0000 0.0000
0.0000 4.1102 0.0000
0.0000 0.0000 4.7846
Be Ga Tc As
2 1 1 1
Direct
0.0000 0.5000 0.0000
0.5000 0.0000 0.0000
0.0000 0.0000 0.0000
0.0000 0.0000 0.5000
0.5000 0.5000 0.5000

=====

(7)
BeGeAs3 (PBE-GGA, relaxed); formation energy from the elements = 1.220 eV per atom; total energy = -3.238 eV/atom
1.0
4.9138 0.0000 0.0000
0.0000 4.9138 0.0000
0.0000 0.0000 4.9138
Be Ge As
1 1 3
Direct
0.0000 0.0000 0.0000
0.5000 0.5000 0.5000
0.0000 0.5000 0.5000
0.5000 0.0000 0.5000
0.5000 0.5000 0.0000

=====

(8)
Be8GeAs6 (PBE-GGA, relaxed); formation energy from the elements = 0.074 eV per atom; total energy = -4.081 eV/atom
1.0
6.7337 0.0000 0.0000
-3.3668 5.8315 0.0000
0.0000 0.0000 12.2087
Be Ge As
16 2 12
Direct
0.0000 0.3352 0.0000
0.0000 0.3751 0.6378
0.0000 0.6249 0.1378
0.0000 0.6648 0.5000
0.3333 0.6667 0.2526
0.3333 0.6667 0.7526
0.3352 0.0000 0.0000
0.3352 0.3352 0.5000
0.3751 0.0000 0.6378
0.3751 0.3751 0.1378
0.6249 0.0000 0.1378
0.6249 0.6249 0.6378
0.6648 0.0000 0.5000
0.6648 0.6648 0.0000
0.6667 0.3333 0.2526
0.6667 0.3333 0.7526
0.0000 0.0000 0.2726
0.0000 0.0000 0.7726
0.0000 0.0000 0.0572
0.0000 0.0000 0.5572
0.0000 0.3787 0.8181
0.0000 0.6213 0.3181
0.3333 0.6667 0.0599
0.3333 0.6667 0.5599
0.3787 0.0000 0.8181
0.3787 0.3787 0.3181
0.6213 0.0000 0.3181
0.6213 0.6213 0.8181
0.6667 0.3333 0.0599
0.6667 0.3333 0.5599

=====

(9)
Be3GeAs4 (PBE-GGA, relaxed); formation energy from the elements = 0.133 eV per atom; total energy = -4.166 eV/atom
1.0
5.2214 0.0000 0.0000
0.0000 5.2214 0.0000
0.0000 0.0000 5.2214
Be Ge As
3 1 4
Direct
0.0000 0.0000 0.5000
0.0000 0.5000 0.0000
0.5000 0.0000 0.0000
0.0000 0.0000 0.0000
0.2750 0.2750 0.2750
0.2750 0.7250 0.7250
0.7250 0.2750 0.7250
0.7250 0.7250 0.2750

=====

(10)
Be2GeAs (PBE-GGA, relaxed); formation energy from the elements = 0.577 eV per atom; total energy = -3.603 eV/atom
1.0
6.0786 0.0000 0.0000
0.0000 6.0786 0.0000
0.0000 0.0000 6.0786
Be Ge As
8 4 4
Direct
0.2500 0.2500 0.2500
0.2500 0.2500 0.7500
0.2500 0.7500 0.2500
0.2500 0.7500 0.7500
0.7500 0.2500 0.2500
0.7500 0.2500 0.7500
0.7500 0.7500 0.2500
0.7500 0.7500 0.7500
0.0000 0.0000 0.0000
0.0000 0.5000 0.5000
0.5000 0.0000 0.5000
0.5000 0.5000 0.0000
0.0000 0.0000 0.5000
0.0000 0.5000 0.0000
0.5000 0.0000 0.0000
0.5000 0.5000 0.5000

=====

(11)
Be3GeAs (PBE-GGA, relaxed); formation energy from the elements = 0.854 eV per atom; total energy = -3.235 eV/atom
1.0
4.2787 0.0000 0.0000
0.0000 4.2787 0.0000
0.0000 0.0000 4.2787
Be Ge As
3 1 1
Direct
0.0000 0.0000 0.5000
0.0000 0.5000 0.0000
0.5000 0.0000 0.0000
0.0000 0.0000 0.0000
0.5000 0.5000 0.5000

=====

(12)
Be2GeAs (PBE-GGA, relaxed); formation energy from the elements = 0.368 eV per atom; total energy = -3.812 eV/atom
1.0
5.6183 0.0000 0.0000
0.0000 5.6183 0.0000
0.0000 0.0000 8.8773
Be Ge As
8 4 4
Direct
0.2241 0.2500 0.1250
0.2500 0.7241 0.3750
0.2500 0.7759 0.8750
0.2759 0.2500 0.6250
0.7241 0.7500 0.6250
0.7500 0.2241 0.8750
0.7500 0.2759 0.3750
0.7759 0.7500 0.1250
0.0000 0.0000 0.5000
0.0000 0.5000 0.7500
0.5000 0.0000 0.2500
0.5000 0.5000 0.0000
0.0000 0.0000 0.0000
0.0000 0.5000 0.2500
0.5000 0.0000 0.7500
0.5000 0.5000 0.5000

=====

| no. | magnetic moment (μB/cell) |
| --- | --- |
| 1 | 0.00 |
| 2 | 0.00 |
| 3 | 0.00 |
| 4 | 0.00 |
| 5 | 0.00 |
| 6 | 0.97 |
| 7 | 0.00 |
| 8 | 0.00 |
| 9 | 0.00 |
| 10 | 0.00 |
| 11 | 0.00 |
| 12 | 0.00 |